--- a ---
The following is a PBE calculation of a relaxed structure of NaGdCdSe3, from OQMD via LeMat-Bulk.

Lattice parameters (Å, degrees): 11.186 4.194 13.723 90.00 90.00 90.00
Element x y z (fractional)
Cd  0.737  0.750  0.219
Cd  0.237  0.750  0.281
Cd  0.763  0.250  0.719
Cd  0.263  0.250  0.781
Gd  0.987  0.250  0.241
Gd  0.487  0.250  0.259
Gd  0.513  0.750  0.741
Gd  0.013  0.750  0.759
Na  0.717  0.250  0.006
Na  0.217  0.250  0.494
Na  0.783  0.750  0.506
Na  0.283  0.750  0.994
Se  0.923  0.750  0.105
Se  0.540  0.750  0.117
Se  0.237  0.250  0.160
Se  0.737  0.250  0.340
Se  0.040  0.750  0.383
Se  0.423  0.750  0.395
Se  0.577  0.250  0.605
Se  0.960  0.250  0.617
Se  0.263  0.750  0.660
Se  0.763  0.750  0.840
Se  0.460  0.250  0.883
Se  0.077  0.250  0.895

- SG = Pnma, No. 62
- total magnetization (μB/f.u.) = 0.0

***

--- b ---
The following is a PBE calculation of a relaxed structure of NaGdCdSe3, from OQMD via LeMat-Bulk.

Lattice parameters (Å, degrees): 9.118 9.118 9.081 105.06 105.06 26.29
Element x y z (fractional)
Cd  0.515  0.515  0.220
Cd  0.485  0.485  0.780
Gd  0.177  0.177  0.101
Gd  0.823  0.823  0.899
Na  0.869  0.869  0.428
Na  0.131  0.131  0.572
Se  0.000  0.000  0.000
Se  0.339  0.339  0.132
Se  0.675  0.675  0.318
Se  0.500  0.500  0.500
Se  0.325  0.325  0.682
Se  0.661  0.661  0.868

- SG = C2/m, No. 12
- total magnetization (μB/f.u.) = 0.0

***

Which structure is the least stable? The one labeled b.

***

--- a ---
The following is a PBE calculation of a relaxed structure of NaGdCdSe3, from OQMD via LeMat-Bulk.

Lattice parameters (Å, degrees): 7.226 7.226 11.141 90.00 90.00 33.58
Element x y z (fractional)
Cd  0.468  0.468  0.250
Cd  0.532  0.532  0.750
Gd  0.000  0.000  0.000
Gd  0.000  0.000  0.500
Na  0.756  0.756  0.250
Na  0.245  0.245  0.750
Se  0.360  0.360  0.058
Se  0.088  0.088  0.250
Se  0.360  0.360  0.442
Se  0.640  0.640  0.558
Se  0.912  0.912  0.750
Se  0.640  0.640  0.942

- SG = Cmcm, No. 63
- total magnetization (μB/f.u.) = 0.0

***

--- b ---
The following is a PBE calculation of a relaxed structure of NaGdCdSe3, from OQMD via LeMat-Bulk.

Lattice parameters (Å, degrees): 8.094 4.276 17.535 90.00 90.00 90.00
Element x y z (fractional)
Cd  0.429  0.250  0.163
Cd  0.929  0.250  0.337
Cd  0.071  0.750  0.663
Cd  0.571  0.750  0.837
Gd  0.770  0.250  0.038
Gd  0.270  0.250  0.462
Gd  0.730  0.750  0.538
Gd  0.230  0.750  0.962
Na  0.060  0.750  0.196
Na  0.560  0.750  0.304
Na  0.440  0.250  0.696
Na  0.940  0.250  0.804
Se  0.126  0.250  0.064
Se  0.511  0.750  0.076
Se  0.772  0.250  0.207
Se  0.272  0.250  0.293
Se  0.011  0.750  0.424
Se  0.626  0.250  0.436
Se  0.374  0.750  0.564
Se  0.989  0.250  0.576
Se  0.728  0.750  0.707
Se  0.228  0.750  0.793
Se  0.489  0.250  0.924
Se  0.874  0.750  0.936

- SG = Pnma, No. 62
- total magnetization (μB/f.u.) = 0.0

***

--- c ---
The following is a PBE calculation of a relaxed structure of NaGdCdSe3, from OQMD via LeMat-Bulk.

Lattice parameters (Å, degrees): 8.266 4.233 10.369 90.00 105.18 90.00
Element x y z (fractional)
Cd  0.079  0.250  0.107
Cd  0.921  0.750  0.893
Gd  0.325  0.750  0.357
Gd  0.675  0.250  0.643
Na  0.807  0.750  0.326
Na  0.193  0.250  0.674
Se  0.250  0.750  0.052
Se  0.562  0.250  0.355
Se  0.079  0.250  0.362
Se  0.921  0.750  0.638
Se  0.438  0.750  0.645
Se  0.750  0.250  0.948

- SG = P2_1/m, No. 11
- total magnetization (μB/f.u.) = 0.0

***

--- d ---
The following is a PBE calculation of a relaxed structure of NaGdCdSe3, from OQMD via LeMat-Bulk.

Lattice parameters (Å, degrees): 13.900 4.201 11.376 90.00 90.00 90.00
Element x y z (fractional)
Cd  0.487  0.750  0.099
Cd  0.987  0.750  0.401
Cd  0.013  0.250  0.599
Cd  0.513  0.250  0.901
Gd  0.977  0.250  0.153
Gd  0.477  0.250  0.347
Gd  0.523  0.750  0.653
Gd  0.023  0.750  0.847
Na  0.258  0.250  0.079
Na  0.758  0.250  0.421
Na  0.242  0.750  0.579
Na  0.742  0.750  0.921
Se  0.105  0.750  0.075
Se  0.606  0.250  0.120
Se  0.850  0.750  0.242
Se  0.350  0.750  0.258
Se  0.106  0.250  0.380
Se  0.605  0.750  0.425
Se  0.395  0.250  0.575
Se  0.894  0.750  0.620
Se  0.650  0.250  0.742
Se  0.150  0.250  0.758
Se  0.394  0.750  0.880
Se  0.895  0.250  0.925

- SG = Pnma, No. 62
- total magnetization (μB/f.u.) = 0.0

***

Which structure is the least stable? The one labeled b.

***

--- a ---
The following is a PBE calculation of a relaxed structure of RbGdCdTe3, from OQMD via LeMat-Bulk.

Lattice parameters (Å, degrees): 16.542 4.547 12.073 90.00 90.00 90.00
Element x y z (fractional)
Cd  0.483  0.750  0.101
Cd  0.983  0.750  0.399
Cd  0.017  0.250  0.601
Cd  0.517  0.250  0.899
Gd  0.976  0.250  0.150
Gd  0.476  0.250  0.350
Gd  0.524  0.750  0.650
Gd  0.024  0.750  0.850
Rb  0.265  0.250  0.044
Rb  0.765  0.250  0.456
Rb  0.235  0.750  0.544
Rb  0.735  0.750  0.956
Te  0.094  0.750  0.082
Te  0.589  0.250  0.124
Te  0.859  0.750  0.238
Te  0.359  0.750  0.262
Te  0.089  0.250  0.376
Te  0.594  0.750  0.418
Te  0.406  0.250  0.582
Te  0.911  0.750  0.624
Te  0.641  0.250  0.738
Te  0.141  0.250  0.762
Te  0.411  0.750  0.876
Te  0.906  0.250  0.918

- SG = Pnma, No. 62
- total magnetization (μB/f.u.) = 0.0

***

--- b ---
The following is a PBE calculation of a relaxed structure of RbGdCdTe3, from OQMD via LeMat-Bulk.

Lattice parameters (Å, degrees): 4.649 12.863 14.314 90.00 90.00 90.00
Element x y z (fractional)
Cd  0.250  0.747  0.211
Cd  0.250  0.247  0.289
Cd  0.750  0.753  0.711
Cd  0.750  0.253  0.789
Gd  0.750  0.472  0.181
Gd  0.750  0.972  0.319
Gd  0.250  0.028  0.681
Gd  0.250  0.528  0.819
Rb  0.750  0.824  0.012
Rb  0.750  0.324  0.488
Rb  0.250  0.676  0.512
Rb  0.250  0.176  0.988
Te  0.250  0.589  0.071
Te  0.250  0.963  0.169
Te  0.750  0.232  0.173
Te  0.750  0.732  0.327
Te  0.250  0.463  0.331
Te  0.250  0.089  0.429
Te  0.750  0.911  0.571
Te  0.750  0.537  0.669
Te  0.250  0.268  0.673
Te  0.250  0.768  0.827
Te  0.750  0.037  0.831
Te  0.750  0.411  0.929

- SG = Pnma, No. 62
- total magnetization (μB/f.u.) = 0.0

***

Which structure is the least stable? The one labeled b.

***

--- a ---
The following is a PBE calculation of a relaxed structure of RbGdCdTe3, from OQMD via LeMat-Bulk.

Lattice parameters (Å, degrees): 9.568 4.552 11.099 90.00 109.09 90.00
Element x y z (fractional)
Cd  0.582  0.250  0.112
Cd  0.418  0.750  0.888
Gd  0.821  0.750  0.366
Gd  0.179  0.250  0.634
Rb  0.270  0.750  0.242
Rb  0.730  0.250  0.758
Te  0.734  0.750  0.051
Te  0.034  0.250  0.345
Te  0.595  0.250  0.369
Te  0.405  0.750  0.631
Te  0.966  0.750  0.655
Te  0.266  0.250  0.949

- SG = P2_1/m, No. 11
- total magnetization (μB/f.u.) = 0.0

***

--- b ---
The following is a PBE calculation of a relaxed structure of RbGdCdTe3, from OQMD via LeMat-Bulk.

Lattice parameters (Å, degrees): 8.858 4.896 18.587 90.00 90.00 90.00
Element x y z (fractional)
Cd  0.572  0.750  0.158
Cd  0.072  0.750  0.342
Cd  0.928  0.250  0.658
Cd  0.428  0.250  0.842
Gd  0.233  0.750  0.041
Gd  0.733  0.750  0.459
Gd  0.267  0.250  0.541
Gd  0.767  0.250  0.959
Rb  0.932  0.250  0.190
Rb  0.432  0.250  0.310
Rb  0.568  0.750  0.690
Rb  0.068  0.750  0.810
Te  0.869  0.750  0.050
Te  0.501  0.250  0.077
Te  0.232  0.750  0.207
Te  0.732  0.750  0.293
Te  0.001  0.250  0.423
Te  0.369  0.750  0.450
Te  0.631  0.250  0.550
Te  0.999  0.750  0.577
Te  0.268  0.250  0.707
Te  0.768  0.250  0.793
Te  0.499  0.750  0.923
Te  0.131  0.250  0.950

- SG = Pnma, No. 62
- total magnetization (μB/f.u.) = 0.0

***

--- c ---
The following is a PBE calculation of a relaxed structure of RbGdCdTe3, from OQMD via LeMat-Bulk.

Lattice parameters (Å, degrees): 8.550 8.550 11.873 90.00 90.00 30.65
Element x y z (fractional)
Cd  0.462  0.462  0.250
Cd  0.538  0.538  0.750
Gd  0.000  0.000  0.000
Gd  0.000  0.000  0.500
Rb  0.753  0.753  0.250
Rb  0.247  0.247  0.750
Te  0.371  0.371  0.049
Te  0.071  0.071  0.250
Te  0.371  0.371  0.451
Te  0.629  0.629  0.549
Te  0.929  0.929  0.750
Te  0.629  0.629  0.951

- SG = Cmcm, No. 63
- total magnetization (μB/f.u.) = 0.0

***

Which structure is the least stable? The one labeled b.

***

--- a ---
The following is a PBE calculation of a relaxed structure of GdTlCdS3, from OQMD via LeMat-Bulk.

Lattice parameters (Å, degrees): 12.034 4.148 12.284 90.00 90.00 90.00
Element x y z (fractional)
Cd  0.751  0.000  0.198
Cd  0.251  0.000  0.302
Cd  0.749  0.500  0.698
Cd  0.249  0.500  0.802
Gd  0.468  0.500  0.161
Gd  0.968  0.500  0.339
Gd  0.032  0.000  0.661
Gd  0.532  0.000  0.839
S  0.593  0.000  0.064
S  0.238  0.500  0.177
S  0.963  0.000  0.183
S  0.463  0.000  0.317
S  0.738  0.500  0.323
S  0.093  0.000  0.436
S  0.907  0.500  0.564
S  0.262  0.000  0.677
S  0.537  0.500  0.683
S  0.037  0.500  0.817
S  0.762  0.000  0.823
S  0.407  0.500  0.936
Tl  0.147  0.000  0.015
Tl  0.647  0.000  0.485
Tl  0.353  0.500  0.515
Tl  0.853  0.500  0.985

- SG = Pnma, No. 62
- total magnetization (μB/f.u.) = 0.0

***

--- b ---
The following is a PBE calculation of a relaxed structure of GdTlCdS3, from OQMD via LeMat-Bulk.

Lattice parameters (Å, degrees): 8.563 4.159 10.022 90.00 106.24 90.00
Element x y z (fractional)
Cd  0.925  0.750  0.383
Cd  0.075  0.250  0.617
Gd  0.671  0.250  0.138
Gd  0.329  0.750  0.862
S  0.886  0.750  0.123
S  0.457  0.750  0.144
S  0.779  0.250  0.442
S  0.221  0.750  0.558
S  0.543  0.250  0.856
S  0.114  0.250  0.877
Tl  0.208  0.250  0.204
Tl  0.792  0.750  0.796

- SG = P2_1/m, No. 11
- total magnetization (μB/f.u.) = 0.0

***

Which structure is the least stable? The one labeled a.

***

--- a ---
The following is a PBE calculation of a relaxed structure of GdTlCdSe3, from OQMD via LeMat-Bulk.

Lattice parameters (Å, degrees): 12.296 4.330 12.752 90.00 90.00 90.00
Element x y z (fractional)
Cd  0.750  0.000  0.201
Cd  0.250  0.000  0.299
Cd  0.750  0.500  0.701
Cd  0.250  0.500  0.799
Gd  0.470  0.500  0.169
Gd  0.970  0.500  0.331
Gd  0.030  0.000  0.669
Gd  0.530  0.000  0.831
Se  0.590  0.000  0.064
Se  0.966  0.000  0.171
Se  0.235  0.500  0.174
Se  0.735  0.500  0.326
Se  0.466  0.000  0.329
Se  0.090  0.000  0.436
Se  0.910  0.500  0.564
Se  0.534  0.500  0.671
Se  0.265  0.000  0.674
Se  0.765  0.000  0.826
Se  0.034  0.500  0.829
Se  0.410  0.500  0.936
Tl  0.159  0.000  0.002
Tl  0.659  0.000  0.498
Tl  0.341  0.500  0.502
Tl  0.841  0.500  0.998

- SG = Pnma, No. 62
- total magnetization (μB/f.u.) = 0.0

***

--- b ---
The following is a PBE calculation of a relaxed structure of GdTlCdSe3, from OQMD via LeMat-Bulk.

Lattice parameters (Å, degrees): 8.717 4.296 10.135 90.00 105.78 90.00
Element x y z (fractional)
Cd  0.418  0.750  0.388
Cd  0.582  0.250  0.612
Gd  0.174  0.250  0.137
Gd  0.826  0.750  0.863
Se  0.398  0.750  0.123
Se  0.956  0.750  0.153
Se  0.267  0.250  0.453
Se  0.733  0.750  0.547
Se  0.044  0.250  0.847
Se  0.602  0.250  0.877
Tl  0.711  0.250  0.223
Tl  0.289  0.750  0.777

- SG = P2_1/m, No. 11
- total magnetization (μB/f.u.) = 0.0

***

Which structure is the least stable? The one labeled a.

***

--- a ---
The following is a PBE calculation of a relaxed structure of GdCdTc, from OQMD via LeMat-Bulk.

Lattice parameters (Å, degrees): 8.097 8.097 3.322 90.00 90.00 120.00
Site moments in Bohr magnetons follow the coordinates.
Element x y z (fractional)
Cd  0.612  0.000  0.500  0.00
Cd  0.388  0.388  0.500  0.00
Cd  0.000  0.612  0.500  0.00
Gd  0.277  0.000  0.000  -0.01
Gd  0.000  0.277  0.000  0.00
Gd  0.723  0.723  0.000  0.00
Tc  0.667  0.333  0.000  0.32
Tc  0.333  0.667  0.000  0.31
Tc  0.000  0.000  0.500  -0.02

- SG = P-62m, No. 189
- total magnetization (μB/f.u.) = 0.2

***

--- b ---
The following is a PBE calculation of a relaxed structure of GdCdTc, from OQMD via LeMat-Bulk.

Lattice parameters (Å, degrees): 4.674 4.674 4.674 60.00 60.00 60.00
Site moments in Bohr magnetons follow the coordinates.
Element x y z (fractional)
Cd  0.000  0.000  0.000  -0.02
Gd  0.250  0.250  0.250  -0.15
Tc  0.750  0.750  0.750  1.21

- SG = F-43m, No. 216
- total magnetization (μB/f.u.) = 1.1

***

Which structure is the least stable? The one labeled b.